(1)
## Ce3Sm2TmS6 (PBE)

Data for Ce3Sm2TmS6 after structural relaxation.

abc: 6.896 11.952 6.943
angles: 90.00 109.38 90.00
Space group C2/m (No. 12)
Asymmetric unit:
Ce1 0.000 0.000 0.000 x2
Ce2 0.000 0.330 0.000 x4
Sm1 0.000 0.166 0.500 x4
Tm1 0.000 0.500 0.500 x2
S1 0.242 0.338 0.741 x8
S2 0.243 0.500 0.256 x4

Computed properties:
* energy relative to the elements, uncorrected: -2344.8 kJ/mol of formula units
* density: 6659 kg/m³
* total magnetic moment: 5.06 μB per cell

(2)
## Ce2SmTmS5 (PBE)

Data for Ce2SmTmS5 after structural relaxation.

abc: 4.844 4.844 10.418
angles: 90.00 90.00 90.00
Space group P4/mmm (No. 123)
Asymmetric unit:
Ce1 0.000 0.000 0.197 x2
Sm1 0.500 0.500 0.500 x1
Tm1 0.500 0.500 0.000 x1
S1 0.000 0.000 0.500 x1
S2 0.000 0.500 0.000 x2
S3 0.500 0.500 0.251 x2

Computed properties:
* energy relative to the elements, uncorrected: -1331.5 kJ/mol of formula units
* density: 5162 kg/m³
* total magnetic moment: 3.34 μB per cell

(3)
## CeSm2TmS6 (PBE)

Data for CeSm2TmS6 after structural relaxation.

abc: 7.0535 7.0535 18.7030
angles: 90.00 90.00 120.00
Space group R3 (No. 146, hexagonal axes)
Asymmetric unit:
Ce1 0.0000 0.0000 0.0000 x3
Sm1 0.0000 0.0000 0.2047 x3
Sm2 0.0000 0.0000 0.7083 x3
Tm1 0.0000 0.0000 0.5046 x3
S1 0.0148 0.3113 0.1035 x9
S2 0.0438 0.6698 0.2687 x9

Computed properties:
* energy relative to the elements, uncorrected: -1933.7 kJ/mol of formula units
* density: 4959 kg/m³
* total magnetic moment: 3.06 μB per cell

(4)
## Ce2SmYS5 (PBE)

Data for Ce2SmYS5 after structural relaxation.

abc: 3.979 16.705 13.244
angles: 90.00 90.00 90.00
Space group Cmc2_1 (No. 36)
Asymmetric unit:
Ce1 0.000 0.083 0.000 x4
Ce2 0.000 0.136 0.659 x4
Sm1 0.000 0.447 0.802 x4
Y1 0.000 0.233 0.390 x4
S1 0.000 0.077 0.437 x4
S2 0.000 0.256 0.038 x4
S3 0.000 0.290 0.751 x4
S4 0.000 0.388 0.339 x4
S5 0.000 0.495 0.112 x4

Computed properties:
* energy relative to the elements, uncorrected: -1646.7 kJ/mol of formula units
* density: 5130 kg/m³
* total magnetic moment: 9.78 μB per cell

(5)
## CeSm4Y3S8 (PBE)

Data for CeSm4Y3S8 after structural relaxation.

abc: 7.9504 7.9504 19.4817
angles: 90.00 90.00 120.00
Space group R-3m (No. 166, hexagonal axes)
Asymmetric unit:
Ce1 0.0000 0.0000 0.0000 x3
Sm1 0.0000 0.0000 0.5000 x3
Sm2 0.0000 0.5000 0.5000 x9
Y1 0.0000 0.5000 0.0000 x9
S1 0.0000 0.0000 0.2529 x6
S2 0.0036 0.5018 0.2520 x18

Computed properties:
* energy relative to the elements, uncorrected: -3117.1 kJ/mol of formula units
* density: 5908 kg/m³
* total magnetic moment: 0.03 μB per cell

(6)
## Ce3SmY4S8 (PBE)

Data for Ce3SmY4S8 after structural relaxation.

abc: 7.9115 7.9115 19.5741
angles: 90.00 90.00 120.00
Space group R-3m (No. 166, hexagonal axes)
Asymmetric unit:
Ce1 0.0000 0.5000 0.0000 x9
Sm1 0.0000 0.0000 0.0000 x3
Y1 0.0000 0.0000 0.5000 x3
Y2 0.0000 0.5000 0.5000 x9
S1 0.0000 0.0000 0.2465 x6
S2 0.0006 0.5003 0.7532 x18

Computed properties:
* energy relative to the elements, uncorrected: -3131.2 kJ/mol of formula units
* density: 5554 kg/m³
* total magnetic moment: 6.12 μB per cell

(7)
## Ce3Sm4YS8 (PBE)

Data for Ce3Sm4YS8 after structural relaxation.

abc: 8.0092 8.0092 19.5984
angles: 90.00 90.00 120.00
Space group R-3m (No. 166, hexagonal axes)
Asymmetric unit:
Ce1 0.0000 0.5000 0.0000 x9
Sm1 0.0000 0.0000 0.5000 x3
Sm2 0.0000 0.5000 0.5000 x9
Y1 0.0000 0.0000 0.0000 x3
S1 0.0000 0.0000 0.2493 x6
S2 0.0043 0.5022 0.7493 x18

Computed properties:
* energy relative to the elements, uncorrected: -3139.4 kJ/mol of formula units
* density: 6256 kg/m³
* total magnetic moment: 5.93 μB per cell

(8)
## CeSm3Y2S6 (PBE)

Data for CeSm3Y2S6 after structural relaxation.

abc: 6.886 11.953 6.899
angles: 90.00 109.59 90.00
Space group C2/m (No. 12)
Asymmetric unit:
Ce1 0.000 0.000 0.000 x2
Sm1 0.000 0.166 0.500 x4
Sm2 0.000 0.500 0.500 x2
Y1 0.000 0.333 0.000 x4
S1 0.243 0.500 0.244 x4
S2 0.249 0.331 0.755 x8

Computed properties:
* energy relative to the elements, uncorrected: -2342.9 kJ/mol of formula units
* density: 5968 kg/m³
* total magnetic moment: 1.19 μB per cell

(9)
## Ce2SmYS4 (PBE)

Data for Ce2SmYS4 after structural relaxation.

abc: 6.910 3.980 6.953
angles: 90.00 109.30 90.00
Space group P2/m (No. 10)
Asymmetric unit:
Ce1 0.000 0.000 0.000 x1
Ce2 0.500 0.500 0.000 x1
Sm1 0.000 0.500 0.500 x1
Y1 0.500 0.000 0.500 x1
S1 0.252 0.000 0.745 x2
S2 0.257 0.500 0.258 x2

Computed properties:
* energy relative to the elements, uncorrected: -1570.1 kJ/mol of formula units
* density: 5959 kg/m³
* total magnetic moment: 1.59 μB per cell

(10)
## Ce2SnS4 (PBE)

Data for Ce2SnS4 after structural relaxation.

abc: 7.220 11.678 4.164
angles: 90.00 90.00 90.00
Space group Pbam (No. 55)
Asymmetric unit:
Ce1 0.081 0.179 0.000 x4
Sn1 0.000 0.500 0.500 x2
S1 0.151 0.721 0.500 x4
S2 0.238 0.959 0.000 x4

Computed properties:
* energy relative to the elements, uncorrected: -991.2 kJ/mol of formula units
* density: 4988 kg/m³
* total magnetic moment: 3.98 μB per cell

(11)
## Ce2SnS (PBE)

Data for Ce2SnS after structural relaxation.

abc: 3.8870 3.8870 24.8309
angles: 90.00 90.00 120.00
Space group R3m (No. 160, hexagonal axes)
Asymmetric unit:
Ce1 0.0000 0.0000 0.0000 x3
Ce2 0.0000 0.0000 0.1976 x3
Sn1 0.0000 0.0000 0.4314 x3
S1 0.0000 0.0000 0.5991 x3

Computed properties:
* energy relative to the elements, uncorrected: -445.5 kJ/mol of formula units
* density: 6609 kg/m³
* total magnetic moment: 0.66 μB per cell
* ΔE to the lowest computed polymorph: 68 meV per atom

(12)
## CeSnS4 (PBE)

Data for CeSnS4 after structural relaxation.

abc: 7.846 11.406 7.457
angles: 90.00 90.00 90.00
Space group Cccm (No. 66)
Asymmetric unit:
Ce1 0.250 0.250 0.000 x4
Sn1 0.000 0.000 0.250 x4
S1 0.000 0.229 0.250 x8
S2 0.230 0.004 0.000 x8

Computed properties:
* energy relative to the elements, uncorrected: -543.3 kJ/mol of formula units
* density: 3853 kg/m³
* total magnetic moment: 0.58 μB per cell
* ΔE to the lowest computed polymorph: 0 meV per atom

Copy entry 9 word for word.
## Ce2SmYS4 (PBE)

Data for Ce2SmYS4 after structural relaxation.

abc: 6.910 3.980 6.953
angles: 90.00 109.30 90.00
Space group P2/m (No. 10)
Asymmetric unit:
Ce1 0.000 0.000 0.000 x1
Ce2 0.500 0.500 0.000 x1
Sm1 0.000 0.500 0.500 x1
Y1 0.500 0.000 0.500 x1
S1 0.252 0.000 0.745 x2
S2 0.257 0.500 0.258 x2

Computed properties:
* energy relative to the elements, uncorrected: -1570.1 kJ/mol of formula units
* density: 5959 kg/m³
* total magnetic moment: 1.59 μB per cell

Please write out number 7 again, unchanged.
## Ce3Sm4YS8 (PBE)

Data for Ce3Sm4YS8 after structural relaxation.

abc: 8.0092 8.0092 19.5984
angles: 90.00 90.00 120.00
Space group R-3m (No. 166, hexagonal axes)
Asymmetric unit:
Ce1 0.0000 0.5000 0.0000 x9
Sm1 0.0000 0.0000 0.5000 x3
Sm2 0.0000 0.5000 0.5000 x9
Y1 0.0000 0.0000 0.0000 x3
S1 0.0000 0.0000 0.2493 x6
S2 0.0043 0.5022 0.7493 x18

Computed properties:
* energy relative to the elements, uncorrected: -3139.4 kJ/mol of formula units
* density: 6256 kg/m³
* total magnetic moment: 5.93 μB per cell